Computed, not measured: crystalline Tl5In3 at its relaxed geometry at the GGA-PBEsol level of DFT.

Calculated volume = 26.993 Å³ per atom
DFT formation energy = 0.02 eV per atom
Energy above the lowest structure with this stoichiometry = 0.000 eV per formula unit
Electronic total energy = -2.743 eV per atom

Geometry as POSCAR:
```
Tl5In3
1.0
4.5253 -4.6444 0.0000
4.5253 4.6444 0.0000
0.0000 0.0000 5.1372
Tl In
5 3
direct
0.0000 0.0000 0.0000
0.0000 0.5000 0.0000
0.2435 0.7565 0.5000
0.5000 0.0000 0.0000
0.7565 0.2435 0.5000
0.2590 0.2590 0.5000
0.5000 0.5000 0.0000
0.7410 0.7410 0.5000
```